Entry 1:
! YFeTc, optimized geometry, DFT GGA-PBE; values from VASP
! E_form, meV per atom: 1370
! Energy above the most stable polymorph in this dataset, kcal/mol of atoms: 33.93
&SYSTEM
  ibrav = 0, nat = 3, ntyp = 3
/
ATOMIC_SPECIES
Y 88.91 Y.upf
Fe 55.84 Fe.upf
Tc 98.00 Tc.upf
CELL_PARAMETERS angstrom
0.0000 3.1750 3.1750
3.1750 0.0000 3.1750
3.1750 3.1750 0.0000
ATOMIC_POSITIONS crystal
Y 0.0000 0.0000 0.0000
Fe 0.2500 0.2500 0.2500
Tc 0.7500 0.7500 0.7500

Entry 2:
! Ni5Au, optimized geometry, DFT GGA-PBE; values from VASP
! E_form, meV per atom: 129
&SYSTEM
  ibrav = 0, nat = 6, ntyp = 2
/
ATOMIC_SPECIES
Ni 58.69 Ni.upf
Au 196.97 Au.upf
CELL_PARAMETERS angstrom
4.7729 -1.3326 0.0000
4.7729 1.3326 0.0000
-1.7353 0.0000 5.7759
ATOMIC_POSITIONS crystal
Ni 0.0000 0.0000 0.0000
Ni 0.0402 0.0402 0.6159
Ni 0.3432 0.3432 0.7004
Ni 0.3900 0.3900 0.2589
Ni 0.7169 0.7169 0.9301
Au 0.6751 0.6751 0.3518

Entry 3:
! TiZnI3, optimized geometry, DFT GGA-PBE; values from VASP
! Energy above the most stable polymorph in this dataset, kcal/mol of atoms: 0.00
&SYSTEM
  ibrav = 0, nat = 5, ntyp = 3
/
ATOMIC_SPECIES
Ti 47.87 Ti.upf
Zn 65.41 Zn.upf
I 126.90 I.upf
CELL_PARAMETERS angstrom
5.6098 0.0000 0.0000
0.0000 5.6098 0.0000
0.0000 0.0000 5.6098
ATOMIC_POSITIONS crystal
Ti 0.0000 0.0000 0.0000
Zn 0.5000 0.5000 0.5000
I 0.0000 0.0000 0.5000
I 0.0000 0.5000 0.0000
I 0.5000 0.0000 0.0000